## FeCuO2F (PBE with a Hubbard U)

Data for a relaxed structure of FeCuO2F.

Unit cell a=3.836 b=3.836 c=3.932 alpha=90.00 beta=90.00 gamma=90.00
Last column: magnetic moment on the atom in μB.
Atoms (fractional coordinates):
Cu 0.500 0.500 0.500  0.31
F 0.000 0.000 0.500  0.09
O 0.000 0.500 0.000  0.32
Fe 0.000 0.000 0.000  4.25
O 0.500 0.000 0.000  0.32

Output
Magnetic moment (μB per formula unit): 5.39
Fermi-level density of states (states/eV per cell): 3.3
Space-group type: P4/mmm
Energy (eV per atom): -5.108